# 1
A plane-wave DFT calculation with PBE was carried out for a relaxed BePt crystal.

Output
**D(E_F)**: 1.77 states/eV per cell
**ΔE_f**: -609 meV/atom
**Calculated total energy**: -5.493 eV/atom
**Crystal system**: tetragonal
**Space group**: No. 129

The structure in POSCAR format:
```
BePt
1.0
2.8753 0.0000 0.0000
0.0000 2.8753 0.0000
0.0000 0.0000 5.7422
Be Pt
2 2
direct
0.2500 0.2500 0.1042
0.7500 0.7500 0.8958
0.2500 0.2500 0.6932
0.7500 0.7500 0.3068
```



# 2
A plane-wave DFT calculation with PBE was carried out for a relaxed CaNi2As2 crystal.

Output
**D(E_F)**: 9.34 states/eV per cell
**ΔE_f**: -284 meV/atom
**Calculated total energy**: -4.856 eV/atom
**Crystal system**: tetragonal
**Space group**: No. 127

The structure in POSCAR format:
```
CaNi2As2
1.0
7.2909 0.0000 0.0000
0.0000 7.2909 0.0000
0.0000 0.0000 3.0488
Ca Ni As
2 4 4
direct
0.0000 0.0000 0.0000
0.5000 0.5000 0.0000
0.1194 0.3806 0.0000
0.3806 0.8806 0.0000
0.6194 0.1194 0.0000
0.8806 0.6194 0.0000
0.1629 0.6629 0.5000
0.3371 0.1629 0.5000
0.6629 0.8371 0.5000
0.8371 0.3371 0.5000
```



# 3
A plane-wave DFT calculation with PBE was carried out for a relaxed LaU5Se6 crystal.

Output
**D(E_F)**: 34.53 states/eV per cell
**Calculated total energy**: -7.974 eV/atom
**Crystal system**: monoclinic
**Space group**: No. 12

The structure in POSCAR format:
```
LaU5Se6
1.0
3.5187 -6.2985 0.0000
3.5187 6.2985 0.0000
-2.5063 0.0000 6.6125
La U Se
1 5 6
direct
0.0000 0.0000 0.0000
0.1631 0.8369 0.5000
0.3322 0.6678 0.0000
0.5000 0.5000 0.5000
0.6678 0.3322 0.0000
0.8369 0.1631 0.5000
0.0849 0.4273 0.2560
0.2585 0.2585 0.7495
0.4273 0.0849 0.2560
0.5727 0.9151 0.7440
0.7415 0.7415 0.2505
0.9151 0.5727 0.7440
```



# 4
A plane-wave DFT calculation with PBE was carried out for a relaxed CsNbHg crystal.

Output
**D(E_F)**: 4.99 states/eV per cell
**ΔE_f**: 1464 meV/atom
**Calculated total energy**: -2.277 eV/atom
**Crystal system**: hexagonal
**Space group**: No. 194

The structure in POSCAR format:
```
CsNbHg
1.0
6.3840 0.0000 0.0000
-3.1920 5.5287 0.0000
0.0000 0.0000 11.3492
Cs Nb Hg
2 2 2
direct
0.3333 0.6667 0.2500
0.6667 0.3333 0.7500
0.0000 0.0000 0.0000
0.0000 0.0000 0.5000
0.0000 0.0000 0.2500
0.0000 0.0000 0.7500
```